# 1
Entry from Alexandria: crystalline SrCd2RuW at its relaxed geometry (GGA-PBE).

Cell and atoms, written as POSCAR:
```
SrCd2RuW
1.0
5.531 0.000 0.000
0.000 5.194 0.000
0.000 0.000 5.531
Cd Sr Ru W
2 1 1 1
Cartesian
0.000 0.000 2.766 Cd
2.766 0.000 0.000 Cd
0.000 0.000 0.000 Sr
2.766 2.597 2.766 Ru
0.000 2.597 0.000 W
```

Calculated volume   159 Å³/cell
Offset from the most stable computed form   1228 meV/atom
Energy of formation from the pure elements   2713 meV per atom
Total moment   4.85 μB per formula unit

---

# 2
Entry from Alexandria: crystalline Ta2CdRu at its relaxed geometry (GGA-PBE).

Cell and atoms, written as POSCAR:
```
Ta2CdRu
1.0
4.624 0.000 0.000
2.312 4.004 0.000
2.312 1.335 3.775
Ta Ru Cd
2 1 1
Cartesian
2.312 1.335 0.944 Ta
0.000 0.000 0.000 Ta
6.936 4.004 2.831 Ru
4.624 2.669 1.888 Cd
```

Calculated volume   70 Å³/cell
Energy of formation from the pure elements   287 meV per atom
Total moment   1.40 μB per formula unit

---

# 3
Entry from Alexandria: crystalline Ta2CdRu2 at its relaxed geometry (GGA-PBE).

Cell and atoms, written as POSCAR:
```
Ta2CdRu2
1.0
-0.902 -3.846 6.660
-3.284 -5.871 -3.835
2.654 -1.248 -0.361
Ta Ru Cd
4 4 2
Cartesian
-1.053 -3.321 3.737 Ta
-1.299 -2.644 -0.408 Ta
-3.133 -6.397 -0.912 Ta
-2.887 -7.073 3.233 Ta
-2.057 -8.120 0.861 Ru
-0.600 -5.974 4.146 Ru
0.525 -2.846 1.602 Ru
-0.932 -4.992 -1.682 Ru
0.000 0.000 0.000 Cd
-2.093 -4.859 1.412 Cd
```

Calculated volume   177 Å³/cell
Offset from the most stable computed form   133 meV/atom
Energy of formation from the pure elements   32 meV per atom
Total moment   0.00 μB per formula unit

---

# 4
Entry from Alexandria: crystalline TaCdRu at its relaxed geometry (GGA-PBE).

Cell and atoms, written as POSCAR:
```
TaCdRu
1.0
5.990 -0.030 0.000
4.417 4.046 0.000
-5.204 -2.008 2.185
Ta Ru Cd
1 1 1
Cartesian
7.160 2.763 0.000 Ta
3.323 1.283 0.000 Ru
10.332 3.987 0.000 Cd
```

Calculated volume   53 Å³/cell
Offset from the most stable computed form   0 meV/atom
Energy of formation from the pure elements   42 meV per atom
Total moment   0.00 μB per formula unit

---

# 5
Entry from Alexandria: crystalline TaCdRu3 at its relaxed geometry (GGA-PBE).

Cell and atoms, written as POSCAR:
```
TaCdRu3
1.0
4.679 0.000 0.000
0.000 4.679 0.000
0.000 0.000 4.679
Ru Cd Ta
3 1 1
Cartesian
2.340 0.000 0.000 Ru
0.000 0.000 2.340 Ru
0.000 2.340 0.000 Ru
0.000 0.000 0.000 Cd
2.340 2.340 2.340 Ta
```

Calculated volume   102 Å³/cell
Offset from the most stable computed form   946 meV/atom
Energy of formation from the pure elements   2238 meV per atom
Total moment   0.00 μB per formula unit

---

# 6
Entry from Alexandria: crystalline Ta2CdRu at its relaxed geometry (GGA-PBE).

Cell and atoms, written as POSCAR:
```
Ta2CdRu
1.0
-2.337 -1.645 0.342
1.803 -0.276 2.226
-4.270 6.964 4.321
Ta Cd Ru
2 1 1
Cartesian
-1.271 0.677 2.301 Ta
-4.208 6.863 4.259 Ta
-2.184 3.562 2.210 Cd
-3.546 4.387 4.602 Ru
```

Calculated volume   71 Å³/cell
Energy of formation from the pure elements   99 meV per atom
Total moment   0.00 μB per formula unit

---

# 7
Entry from Alexandria: crystalline TaCdRu at its relaxed geometry (GGA-PBE).

Cell and atoms, written as POSCAR:
```
TaCdRu
1.0
7.411 0.006 -0.004
6.623 2.788 -0.028
0.788 -0.934 2.621
Cd Ta Ru
1 1 1
Cartesian
13.978 2.777 -0.021 Cd
9.818 1.607 0.812 Ta
5.060 0.268 1.765 Ru
```

Calculated volume   54 Å³/cell
Offset from the most stable computed form   137 meV/atom
Energy of formation from the pure elements   180 meV per atom
Total moment   0.00 μB per formula unit

---

# 8
Entry from Alexandria: crystalline Ta2CdRu at its relaxed geometry (GGA-PBE).

Cell and atoms, written as POSCAR:
```
Ta2CdRu
1.0
-2.963 3.276 -1.085
-2.063 -1.995 -0.389
-2.132 -0.249 5.072
Ta Ru Cd
2 1 1
Cartesian
-4.037 -2.142 4.554 Ta
-2.511 1.080 0.585 Ta
-4.578 0.086 3.225 Ru
-2.326 -1.356 2.258 Cd
```

Calculated volume   71 Å³/cell
Energy of formation from the pure elements   140 meV per atom
Total moment   0.00 μB per formula unit

---

# 9
Entry from Alexandria: crystalline Ta4CdRu at its relaxed geometry (GGA-PBE).

Cell and atoms, written as POSCAR:
```
Ta4CdRu
1.0
0.000 3.822 3.822
3.822 0.000 3.822
3.822 3.822 0.000
Ta Ru Cd
4 1 1
Cartesian
2.865 2.865 2.865 Ta
4.779 4.779 2.865 Ta
4.779 2.865 4.779 Ta
2.865 4.779 4.779 Ta
0.000 0.000 0.000 Ru
5.734 5.734 5.734 Cd
```

Calculated volume   112 Å³/cell
Energy of formation from the pure elements   430 meV per atom
Total moment   0.00 μB per formula unit

---

# 10
Entry from Alexandria: crystalline Ta2CdRu at its relaxed geometry (GGA-PBE).

Cell and atoms, written as POSCAR:
```
Ta2CdRu
1.0
4.201 0.000 0.000
0.000 4.045 0.000
0.000 0.000 4.045
Cd Ru Ta
1 1 2
Cartesian
2.101 2.022 0.000 Cd
2.101 0.000 2.022 Ru
0.000 2.022 2.022 Ta
0.000 0.000 0.000 Ta
```

Calculated volume   69 Å³/cell
Energy of formation from the pure elements   124 meV per atom
Total moment   0.00 μB per formula unit

---

# 11
Entry from Alexandria: crystalline Ta2CdRu at its relaxed geometry (GGA-PBE).

Cell and atoms, written as POSCAR:
```
Ta2CdRu
1.0
-2.152 -0.036 -2.298
-1.281 -2.595 1.240
-4.386 4.097 4.042
Ta Ru Cd
2 1 1
Cartesian
-2.746 -0.354 0.420 Ta
-4.250 3.970 3.918 Ta
-5.131 1.874 2.619 Ru
-2.269 2.119 2.091 Cd
```

Calculated volume   72 Å³/cell
Energy of formation from the pure elements   3 meV per atom
Total moment   0.00 μB per formula unit

---

# 12
Entry from Alexandria: crystalline Ta2CdRu at its relaxed geometry (GGA-PBE).

Cell and atoms, written as POSCAR:
```
Ta2CdRu
1.0
-1.126 2.904 -4.184
-2.556 -2.533 -3.776
-0.616 0.549 5.151
Ru Cd Ta
1 1 2
Cartesian
-1.791 1.819 -1.507 Ru
-1.841 0.185 -3.980 Cd
0.000 0.000 0.000 Ta
-2.506 -0.900 -1.303 Ta
```

Calculated volume   70 Å³/cell
Energy of formation from the pure elements   229 meV per atom
Total moment   0.00 μB per formula unit

---

# 13
Entry from Alexandria: crystalline Ta2CdRu at its relaxed geometry (GGA-PBE).

Cell and atoms, written as POSCAR:
```
Ta2CdRu
1.0
5.075 -0.017 0.000
1.844 4.729 0.000
-3.460 -2.356 2.871
Cd Ta Ru
1 2 1
Cartesian
0.922 2.364 1.435 Cd
3.460 2.356 0.000 Ta
0.000 0.000 0.000 Ta
2.538 -0.009 1.435 Ru
```

Calculated volume   69 Å³/cell
Energy of formation from the pure elements   165 meV per atom
Total moment   0.00 μB per formula unit

---

# 14
Entry from Alexandria: crystalline Ta4CdRu5 at its relaxed geometry (GGA-PBE).

Cell and atoms, written as POSCAR:
```
Ta4CdRu5
1.0
-1.531 -0.923 -2.662
0.623 -3.066 0.704
-13.588 -0.897 8.126
Ta Ru Cd
4 5 1
Cartesian
-8.138 -0.537 4.866 Ta
-5.450 -0.360 3.259 Ta
-2.719 -0.180 1.626 Ta
-10.869 -0.718 6.500 Ta
-9.893 -2.618 4.666 Ru
-2.034 -2.099 -0.034 Ru
-4.602 -2.268 1.502 Ru
-12.461 -2.787 6.202 Ru
-7.248 -2.443 3.084 Ru
0.000 0.000 0.000 Cd
```

Calculated volume   163 Å³/cell
Energy of formation from the pure elements   -308 meV per atom
Total moment   0.00 μB per formula unit

---

# 15
Entry from Alexandria: crystalline Ta2CdRu at its relaxed geometry (GGA-PBE).

Cell and atoms, written as POSCAR:
```
Ta2CdRu
1.0
-3.809 -0.511 1.500
1.080 0.049 2.758
0.150 5.716 2.329
Cd Ta Ru
1 2 1
Cartesian
-1.597 1.186 2.022 Cd
1.202 5.628 4.969 Ta
0.643 3.020 2.660 Ta
-0.982 4.069 4.565 Ru
```

Calculated volume   70 Å³/cell
Energy of formation from the pure elements   87 meV per atom
Total moment   0.00 μB per formula unit

---

# 16
Entry from Alexandria: crystalline TaCdRu at its relaxed geometry (GGA-PBE).

Cell and atoms, written as POSCAR:
```
TaCdRu
1.0
-2.883 3.287 1.149
-1.480 -3.606 -2.290
-0.559 -1.373 2.524
Cd Ru Ta
1 1 1
Cartesian
-0.008 -0.019 0.035 Cd
-2.163 -1.837 -0.171 Ru
-2.751 0.164 1.520 Ta
```

Calculated volume   52 Å³/cell
Offset from the most stable computed form   114 meV/atom
Energy of formation from the pure elements   156 meV per atom
Total moment   0.00 μB per formula unit

---

# 17
Entry from Alexandria: crystalline Ta2CdRu at its relaxed geometry (GGA-PBE).

Cell and atoms, written as POSCAR:
```
Ta2CdRu
1.0
-2.248 4.371 -0.769
-0.458 -4.706 -4.352
-2.613 -1.397 -0.261
Ta Ru Cd
2 1 1
Cartesian
-1.536 -3.051 -2.307 Ta
0.000 0.000 0.000 Ta
-2.431 1.487 -0.515 Ru
-1.353 -0.167 -2.560 Cd
```

Calculated volume   69 Å³/cell
Energy of formation from the pure elements   150 meV per atom
Total moment   0.00 μB per formula unit

---

# 18
Entry from Alexandria: crystalline TaCd2Ru2 at its relaxed geometry (GGA-PBE).

Cell and atoms, written as POSCAR:
```
TaCd2Ru2
1.0
3.388 0.000 0.000
0.000 3.388 0.000
1.694 1.694 8.641
Cd Ta Ru
2 1 2
Cartesian
1.694 1.694 1.900 Cd
3.388 3.388 6.741 Cd
0.000 0.000 0.000 Ta
3.388 1.694 4.320 Ru
1.694 3.388 4.320 Ru
```

Calculated volume   99 Å³/cell
Offset from the most stable computed form   315 meV/atom
Energy of formation from the pure elements   884 meV per atom
Total moment   0.83 μB per formula unit

---

# 19
Entry from Alexandria: crystalline Ta2CdRu at its relaxed geometry (GGA-PBE).

Cell and atoms, written as POSCAR:
```
Ta2CdRu
1.0
9.201 -0.028 -0.017
8.701 2.992 -0.017
8.701 1.440 2.623
Ta Cd Ru
2 1 1
Cartesian
0.169 0.028 0.016 Ta
6.793 1.125 0.661 Ta
13.191 2.184 1.284 Cd
19.753 3.270 1.922 Ru
```

Calculated volume   73 Å³/cell
Energy of formation from the pure elements   145 meV per atom
Total moment   0.00 μB per formula unit

---

# 20
Entry from Alexandria: crystalline TaCdRu at its relaxed geometry (GGA-PBE).

Cell and atoms, written as POSCAR:
```
TaCdRu
1.0
-3.212 -1.723 2.468
-2.100 -3.629 -1.341
0.642 -3.816 2.098
Ru Cd Ta
1 1 1
Cartesian
-1.168 -2.292 0.806 Ru
-2.335 -4.584 1.613 Cd
0.000 0.000 0.000 Ta
```

Calculated volume   60 Å³/cell
Offset from the most stable computed form   391 meV/atom
Energy of formation from the pure elements   433 meV per atom
Total moment   0.00 μB per formula unit

---

# 21
Entry from Alexandria: crystalline TaCdRu at its relaxed geometry (GGA-PBE).

Cell and atoms, written as POSCAR:
```
TaCdRu
1.0
-2.062 -2.894 2.642
-2.830 -2.941 -1.719
1.083 -4.291 -0.144
Ru Cd Ta
1 1 1
Cartesian
-1.905 -5.063 0.390 Ru
0.000 0.000 0.000 Cd
-0.952 -2.531 0.195 Ta
```

Calculated volume   61 Å³/cell
Offset from the most stable computed form   706 meV/atom
Energy of formation from the pure elements   748 meV per atom
Total moment   0.00 μB per formula unit

---

# 22
Entry from Alexandria: crystalline TaCd2Ru2 at its relaxed geometry (GGA-PBE).

Cell and atoms, written as POSCAR:
```
TaCd2Ru2
1.0
7.510 0.000 0.000
0.000 7.510 0.000
0.000 0.000 3.081
Ta Ru Cd
2 4 4
Cartesian
0.000 0.000 0.000 Ta
3.755 3.755 0.000 Ta
6.203 2.448 1.540 Ru
5.062 6.203 1.540 Ru
2.448 1.307 1.540 Ru
1.307 5.062 1.540 Ru
0.952 2.803 0.000 Cd
6.558 4.707 0.000 Cd
2.803 6.558 0.000 Cd
4.707 0.952 0.000 Cd
```

Calculated volume   174 Å³/cell
Offset from the most stable computed form   0 meV/atom
Energy of formation from the pure elements   569 meV per atom
Total moment   0.00 μB per formula unit

---

# 23
Entry from Alexandria: crystalline Ta2CdRu at its relaxed geometry (GGA-PBE).

Cell and atoms, written as POSCAR:
```
Ta2CdRu
1.0
7.529 0.000 0.000
0.000 7.529 0.000
3.765 3.765 2.758
Ta Ru Cd
4 2 2
Cartesian
5.647 6.035 2.068 Ta
9.412 9.024 2.068 Ta
5.259 1.882 0.689 Ta
2.270 5.647 0.689 Ta
3.765 3.765 0.000 Ru
3.765 7.529 1.379 Ru
7.529 3.765 1.379 Cd
0.000 0.000 0.000 Cd
```

Calculated volume   156 Å³/cell
Energy of formation from the pure elements   503 meV per atom
Total moment   0.00 μB per formula unit

---

# 24
Entry from Alexandria: crystalline Ta2CdRu at its relaxed geometry (GGA-PBE).

Cell and atoms, written as POSCAR:
```
Ta2CdRu
1.0
5.526 0.001 -0.002
2.591 4.881 0.002
-3.477 -3.409 2.613
Ru Ta Cd
1 2 1
Cartesian
1.484 1.895 1.308 Ru
3.145 -0.428 1.306 Ta
0.109 0.066 0.000 Ta
3.961 2.382 0.000 Cd
```

Calculated volume   70 Å³/cell
Energy of formation from the pure elements   134 meV per atom
Total moment   0.00 μB per formula unit

---

# 25
Entry from Alexandria: crystalline Ta2CdRu at its relaxed geometry (GGA-PBE).

Cell and atoms, written as POSCAR:
```
Ta2CdRu
1.0
9.592 -0.029 -0.017
9.144 2.896 -0.017
9.144 1.400 2.536
Ru Cd Ta
1 1 2
Cartesian
20.910 3.200 1.877 Ru
6.970 1.067 0.626 Cd
13.703 2.097 1.230 Ta
0.237 0.036 0.021 Ta
```

Calculated volume   72 Å³/cell
Energy of formation from the pure elements   160 meV per atom
Total moment   0.00 μB per formula unit

---

# 26
Entry from Alexandria: crystalline Ta2CdRu2 at its relaxed geometry (GGA-PBE).

Cell and atoms, written as POSCAR:
```
Ta2CdRu2
1.0
-5.561 -2.707 2.663
-4.996 2.892 3.467
3.879 0.397 -5.490
Cd Ru Ta
1 2 2
Cartesian
0.000 0.000 0.000 Cd
-3.480 -1.109 0.119 Ru
-3.198 1.691 0.521 Ru
-6.569 0.115 3.815 Ta
-3.988 0.070 2.316 Ta
```

Calculated volume   99 Å³/cell
Offset from the most stable computed form   414 meV/atom
Energy of formation from the pure elements   313 meV per atom
Total moment   0.00 μB per formula unit

---

# 27
Entry from Alexandria: crystalline Ta2CdRu at its relaxed geometry (GGA-PBE).

Cell and atoms, written as POSCAR:
```
Ta2CdRu
1.0
2.958 0.049 0.000
-0.053 2.958 0.000
0.000 0.000 8.136
Ru Cd Ta
1 1 2
Cartesian
1.453 1.504 6.102 Ru
1.453 1.504 2.034 Cd
0.000 0.000 7.858 Ta
0.000 0.000 4.347 Ta
```

Calculated volume   71 Å³/cell
Energy of formation from the pure elements   31 meV per atom
Total moment   0.00 μB per formula unit

---

# 28
Entry from Alexandria: crystalline TaCdRu3 at its relaxed geometry (GGA-PBE).

Cell and atoms, written as POSCAR:
```
TaCdRu3
1.0
4.743 0.000 0.000
0.000 4.743 0.000
0.000 0.000 4.743
Ru Cd Ta
3 1 1
Cartesian
0.000 0.000 2.371 Ru
0.000 2.371 0.000 Ru
2.371 0.000 0.000 Ru
2.371 2.371 2.371 Cd
0.000 0.000 0.000 Ta
```

Calculated volume   107 Å³/cell
Offset from the most stable computed form   0 meV/atom
Energy of formation from the pure elements   1292 meV per atom
Total moment   2.61 μB per formula unit

---

# 29
Entry from Alexandria: crystalline Ta2CdRu2 at its relaxed geometry (GGA-PBE).

Cell and atoms, written as POSCAR:
```
Ta2CdRu2
1.0
7.595 0.000 0.000
0.000 7.595 0.000
0.000 0.000 3.026
Ru Ta Cd
4 4 2
Cartesian
2.737 6.535 0.000 Ru
4.858 1.060 0.000 Ru
1.060 2.737 0.000 Ru
6.535 4.858 0.000 Ru
4.970 6.423 1.513 Ta
6.423 2.625 1.513 Ta
2.625 1.173 1.513 Ta
1.173 4.970 1.513 Ta
0.000 0.000 0.000 Cd
3.798 3.798 0.000 Cd
```

Calculated volume   175 Å³/cell
Offset from the most stable computed form   0 meV/atom
Energy of formation from the pure elements   -101 meV per atom
Total moment   0.00 μB per formula unit